Record 1
KLiSi: relaxed, PBE.

Lattice parameters (Å, degrees): 3.4254 3.4254 7.8617 90.00 90.00 120.00
Last column: nearest neighbours and their distance in Å.
Space group P3m1 (No. 156)
Symmetry-distinct sites (fractional):
K (0.0000, 0.0000, 0.0000) [1 per cell]  3 Si 3.30, 6 K 3.43
Li (0.6667, 0.3333, 0.4342) [1 per cell]  3 Si 2.67
Si (0.3333, 0.6667, 0.6633) [1 per cell]  3 Li 2.67

Results
The formation energy without anion corrections is 1.27 eV/f.u. The spin magnetization is 0.0 Bohr magnetons per cell. As for the energy above the most stable polymorph in this dataset: 518 meV/atom.

***

Record 2
MgTl2Te: relaxed, PBE.

Lattice parameters (Å, degrees): 3.5207 3.5207 32.5240 90.00 90.00 120.00
Last column: nearest neighbours and their distance in Å.
Space group R-3m (No. 166, hexagonal axes)
Symmetry-distinct sites (fractional):
Mg (0.0000, 0.0000, 0.0000) [3 per cell]  6 Tl 3.32, 6 Mg 3.52
Tl (0.0000, 0.0000, 0.2526) [6 per cell]  3 Mg 3.32, 3 Te 3.45, 6 Tl 3.52
Te (0.0000, 0.0000, 0.5000) [3 per cell]  6 Tl 3.45, 6 Te 3.52

Results
The formation energy without anion corrections is 0.19 eV/f.u. The spin magnetization is 0.0 Bohr magnetons per cell. As for the energy above the most stable polymorph in this dataset: 283 meV/atom.

***

Record 3
BaAsPdO4: relaxed, PBE.

Lattice parameters (Å, degrees): 8.8432 8.8432 8.8432 90.00 90.00 90.00
Last column: nearest neighbours and their distance in Å.
Space group F-43m (No. 216)
Symmetry-distinct sites (fractional):
Ba (0.0000, 0.0000, 0.0000) [4 per cell]  12 O 3.71, 4 Pd 3.83
As (0.0000, 0.0000, 0.5000) [4 per cell]  4 O 1.72
Pd (0.2500, 0.2500, 0.2500) [4 per cell]  4 O 2.11
O (0.1122, 0.1122, 0.3878) [16 per cell]  1 As 1.72

Results
The formation energy without anion corrections is -7.06 eV/f.u. The spin magnetization is 4.1 Bohr magnetons per cell.

***

Record 4
Ce2YAl6: relaxed, PBE.

Lattice parameters (Å, degrees): 7.9852 7.9852 3.5307 90.00 90.00 120.00
Last column: nearest neighbours and their distance in Å.
Space group P6/mmm (No. 191)
Symmetry-distinct sites (fractional):
Ce (0.3333, 0.6667, 0.0000) [2 per cell]  12 Al 3.20, 2 Ce 3.53
Y (0.0000, 0.0000, 0.0000) [1 per cell]  12 Al 3.19, 2 Y 3.53
Al (0.0000, 0.3322, 0.5000) [6 per cell]  3 Al 2.65-2.68

Results
The spin magnetization is 1.4 Bohr magnetons per cell. As for the formation energy: -0.441 eV per atom.

***

Record 5
Ho2Zn3Ga: relaxed, PBE.

Lattice parameters (Å, degrees): 7.0576 8.8631 15.3728 90.00 90.00 90.00
Last column: nearest neighbours and their distance in Å.
Space group Fmmm (No. 69)
Symmetry-distinct sites (fractional):
Ho (0.2454, 0.0000, 0.0000) [8 per cell]  10 Zn 3.09-3.12, 2 Ga 3.12
Ho (0.2500, 0.2500, 0.2500) [8 per cell]  8 Zn 3.11-3.12, 4 Ga 3.11
Zn (0.0000, 0.0000, 0.1665) [8 per cell]  2 Zn 2.57, 1 Ga 2.58
Zn (0.0000, 0.2495, 0.4172) [16 per cell]  2 Zn 2.54-2.57, 1 Ga 2.55
Ga (0.0000, 0.0000, 0.3343) [8 per cell]  3 Zn 2.55-2.58

Results
The spin magnetization is 0.0 Bohr magnetons per cell. As for the energy above the most stable polymorph in this dataset: 0 meV/atom. As for the formation energy: -0.472 eV per atom.

***

Record 6
Tb6YTh3: relaxed, PBE.

Lattice parameters (Å, degrees): 10.4413 5.6352 11.3944 90.00 96.44 90.00
Last column: nearest neighbours and their distance in Å.
Space group P2_1/m (No. 11)
Symmetry-distinct sites (fractional):
Tb (0.0463, 0.2500, 0.1006) [2 per cell]  4 Th 3.65-4.08, 8 Tb 3.69-3.95
Tb (0.1536, 0.2500, 0.7591) [2 per cell]  2 Th 3.02-3.38
Tb (0.2862, 0.7500, 0.0818) [2 per cell]  3 Th 3.06-3.32, 1 Tb 3.22
Tb (0.3111, 0.7500, 0.5337) [2 per cell]  1 Th 3.08, 1 Tb 3.13
Tb (0.3448, 0.2500, 0.3143) [2 per cell]  2 Y 3.49, 3 Th 3.56-3.62, 7 Tb 3.68-3.87
Tb (0.3445, 0.7500, 0.8104) [2 per cell]  4 Tb 3.13-3.46, 3 Th 3.39-3.42
Y (0.4575, 0.2500, 0.6686) [2 per cell]  9 Tb 3.44-3.68, 1 Th 3.65
Th (0.0364, 0.2500, 0.4321) [2 per cell]  5 Th 3.34-3.74, 2 Tb 3.62-3.69
Th (0.1359, 0.7500, 0.2971) [2 per cell]  3 Tb 3.02-3.08
Th (0.3994, 0.2500, 0.9789) [2 per cell]  7 Tb 3.32-3.43, 2 Th 3.51, 1 Y 3.65

Results
The spin magnetization is 0.0 Bohr magnetons per cell. As for the formation energy: 0.171 eV per atom.

***

Record 7
La8GeSb3Te4: relaxed, PBE.

Lattice parameters (Å, degrees): 9.1769 9.1769 22.5151 90.00 90.00 120.00
Last column: nearest neighbours and their distance in Å.
Space group R-3m (No. 166, hexagonal axes)
Symmetry-distinct sites (fractional):
La (0.0000, 0.0000, 0.2473) [6 per cell]  3 Sb 3.21, 3 Te 3.28
La (0.0105, 0.5053, 0.2450) [18 per cell]  1 Ge 3.11, 2 Sb 3.22, 3 Te 3.28-3.38
Ge (0.0000, 0.0000, 0.5000) [3 per cell]  6 La 3.11
Sb (0.0000, 0.5000, 0.5000) [9 per cell]  6 La 3.21-3.22
Te (0.0000, 0.0000, 0.0000) [3 per cell]  6 La 3.38
Te (0.0000, 0.5000, 0.0000) [9 per cell]  6 La 3.28

Results
The formation energy without anion corrections is -22.96 eV/f.u. The spin magnetization is 0.0 Bohr magnetons per cell.

***

Record 8
VCr2GeS: relaxed, PBE.

Lattice parameters (Å, degrees): 4.6540 4.6540 4.3348 90.00 90.00 90.00
Last column: nearest neighbours and their distance in Å.
Space group P4/mmm (No. 123)
Symmetry-distinct sites (fractional):
V (0.0000, 0.0000, 0.0000) [1 per cell]  2 S 2.17, 4 Cr 2.33
Cr (0.0000, 0.5000, 0.0000) [2 per cell]  2 V 2.33
Ge (0.5000, 0.5000, 0.5000) [1 per cell]  8 Cr 3.18, 4 S 3.29
S (0.0000, 0.0000, 0.5000) [1 per cell]  2 V 2.17

Results
The formation energy without anion corrections is 4.10 eV/f.u. The spin magnetization is 5.9 Bohr magnetons per cell.

***

Record 9
Sr3Cu5Cl12: relaxed, PBE.

Lattice parameters (Å, degrees): 15.5855 15.5855 15.5855 90.00 90.00 90.00
Last column: nearest neighbours and their distance in Å.
Space group Ia-3d (No. 230)
Symmetry-distinct sites (fractional):
Sr (0.0000, 0.2500, 0.1250) [24 per cell]  8 Cl 3.01-3.08
Cu (0.0000, 0.0000, 0.0000) [16 per cell]  6 Cl 2.53
Cu (0.0000, 0.2500, 0.3750) [24 per cell]  4 Cl 2.32
Cl (0.0303, 0.0563, 0.6494) [96 per cell]  2 Cu 2.32-2.53

Results
The formation energy without anion corrections is -26.99 eV/f.u. The spin magnetization is 9.2 Bohr magnetons per cell.

***

Record 10
Ti2GaTeAu: relaxed, PBE.

Lattice parameters (Å, degrees): 4.9278 4.9278 4.6892 90.00 90.00 90.00
Last column: nearest neighbours and their distance in Å.
Space group P4/mmm (No. 123)
Symmetry-distinct sites (fractional):
Ti (0.0000, 0.5000, 0.0000) [2 per cell]  2 Ga 2.46
Ga (0.0000, 0.0000, 0.0000) [1 per cell]  2 Au 2.34, 4 Ti 2.46
Te (0.5000, 0.5000, 0.5000) [1 per cell]  8 Ti 3.40, 4 Au 3.48
Au (0.0000, 0.0000, 0.5000) [1 per cell]  2 Ga 2.34

Results
The formation energy without anion corrections is 1.74 eV/f.u. The spin magnetization is 2.0 Bohr magnetons per cell.

***

Record 11
Fe2PdPt5Au: relaxed, PBE.

Lattice parameters (Å, degrees): 6.1864 6.1864 15.2887 90.00 90.00 90.00
Last column: nearest neighbours and their distance in Å.
Space group I4/mcm (No. 140)
Symmetry-distinct sites (fractional):
Fe (0.1226, 0.3774, 0.0000) [8 per cell]  1 Fe 2.14
Pd (0.0000, 0.0000, 0.2500) [4 per cell]  8 Pt 2.96, 4 Au 3.09
Pt (0.0000, 0.0000, 0.0000) [4 per cell]  4 Fe 2.45
Pt (0.2034, 0.2966, 0.3778) [16 per cell]  1 Fe 2.41, 1 Au 2.64
Au (0.0000, 0.5000, 0.2500) [4 per cell]  4 Pt 2.64

Results
The spin magnetization is 30.6 Bohr magnetons per cell. As for the formation energy: 0.211 eV per atom.

***

Record 12
Cs3BiAu3: relaxed, PBE.

Lattice parameters (Å, degrees): 10.6521 10.6521 7.3549 90.00 90.00 120.00
Last column: nearest neighbours and their distance in Å.
Space group P6_3/m (No. 176)
Symmetry-distinct sites (fractional):
Cs (0.0821, 0.7038, 0.2500) [6 per cell]  5 Au 3.68-3.73
Bi (0.3333, 0.6667, 0.7500) [2 per cell]  3 Au 2.82
Au (0.0859, 0.6979, 0.7500) [6 per cell]  1 Bi 2.82

Results
The spin magnetization is 0.0 Bohr magnetons per cell. As for the formation energy: -0.160 eV per atom.

***

Record 13
Ba4PdO: relaxed, PBE.

Lattice parameters (Å, degrees): 8.9395 19.7190 7.2488 90.00 123.54 90.00
Last column: nearest neighbours and their distance in Å.
Space group C2/c (No. 15)
Symmetry-distinct sites (fractional):
Ba (0.2023, 0.0556, 0.1568) [8 per cell]  2 O 2.58-2.64
Ba (0.2501, 0.1999, 0.7475) [8 per cell]  2 Pd 3.06-3.21
Pd (0.0000, 0.3165, 0.7500) [4 per cell]  4 Ba 3.06-3.21
O (0.0000, 0.0083, 0.7500) [4 per cell]  4 Ba 2.58-2.64

Results
The formation energy without anion corrections is -5.66 eV/f.u. The spin magnetization is 0.0 Bohr magnetons per cell. As for the energy above the most stable polymorph in this dataset: 38 meV/atom.

***

Record 14
BeFeNi4: relaxed, PBE.

Lattice parameters (Å, degrees): 2.5134 2.5134 9.8354 90.00 90.00 90.00
Last column: nearest neighbours and their distance in Å.
Space group P4/mmm (No. 123)
Symmetry-distinct sites (fractional):
Be (0.0000, 0.0000, 0.0000) [1 per cell]  8 Ni 2.25, 4 Be 2.51
Fe (0.5000, 0.5000, 0.5000) [1 per cell]  8 Ni 2.51, 4 Fe 2.51
Ni (0.0000, 0.0000, 0.3205) [2 per cell]  4 Fe 2.51, 8 Ni 2.51
Ni (0.5000, 0.5000, 0.1396) [2 per cell]  4 Be 2.25, 8 Ni 2.51

Results
The spin magnetization is 4.1 Bohr magnetons per cell. As for the energy above the most stable polymorph in this dataset: 0 meV/atom. As for the formation energy: -0.173 eV per atom.

***

Record 15
ScMnMo2: relaxed, PBE.

Lattice parameters (Å, degrees): 3.1381 4.5674 8.6872 90.00 90.00 90.00
Last column: nearest neighbours and their distance in Å.
Space group Imm2 (No. 44)
Symmetry-distinct sites (fractional):
Sc (0.0000, 0.0000, 0.0000) [2 per cell]  2 Mn 2.74, 8 Mo 2.77-3.04
Mn (0.0000, 0.5000, 0.7580) [2 per cell]  6 Mo 2.53-2.78, 2 Sc 2.74
Mo (0.0000, 0.0000, 0.4866) [2 per cell]  2 Mn 2.53, 2 Mo 2.64, 4 Sc 2.77
Mo (0.0000, 0.5000, 0.2304) [2 per cell]  2 Mo 2.64, 4 Mn 2.78, 2 Sc 2.82

Results
The spin magnetization is 0.0 Bohr magnetons per cell. As for the energy above the most stable polymorph in this dataset: 92 meV/atom. As for the formation energy: 0.143 eV per atom.

***

Record 16
NaZnAs3: relaxed, PBE.

Lattice parameters (Å, degrees): 5.0029 5.0029 5.0029 90.00 90.00 90.00
Last column: nearest neighbours and their distance in Å.
Space group Pm-3m (No. 221)
Symmetry-distinct sites (fractional):
Na (0.0000, 0.0000, 0.0000) [1 per cell]  6 As 2.50
Zn (0.5000, 0.5000, 0.5000) [1 per cell]  12 As 3.54
As (0.0000, 0.0000, 0.5000) [3 per cell]  2 Na 2.50

Results
The spin magnetization is 0.0 Bohr magnetons per cell. As for the energy above the most stable polymorph in this dataset: 698 meV/atom. As for the formation energy: 1.061 eV per atom.